BaBi2AuBr after structural relaxation. Source: Alexandria via LeMat-Bulk, functional PBE.

Structure (extended XYZ):
```
5
Lattice="5.661 0.000 0.000 0.000 6.188 0.000 0.000 0.000 5.661" Properties=species:S:1:pos:R:3 pbc="T T T"
Br 0.000 0.000 0.000
Au 2.831 3.094 2.831
Bi 2.831 0.000 0.000
Bi 0.000 0.000 2.831
Ba 0.000 3.094 0.000
```

Computed properties:
- crystal system = tetragonal
- total energy (eV/cell) = -13.9
- space group = P4/mmm (123)

=====

Ba2CaBi4Au3 after structural relaxation. Source: Alexandria via LeMat-Bulk, functional PBE.

Structure (extended XYZ):
```
10
Lattice="-2.645 -4.173 -0.584 1.485 -1.568 4.481 -10.106 5.660 5.328" Properties=species:S:1:pos:R:3 pbc="T T T"
Bi -2.831 1.217 4.124
Bi -0.580 -2.870 1.949
Bi 0.000 0.000 0.000
Bi -7.856 1.573 3.153
Au -10.103 2.832 4.338
Au -0.583 -0.042 2.939
Au -5.053 2.830 2.664
Ba -3.717 -0.745 0.970
Ba -6.970 3.535 6.307
Ca -5.633 -0.040 4.613
```

Computed properties:
- crystal system = tetragonal
- formation enthalpy at 0 K (meV/atom) = -633
- space group = P-4m2 (115)

=====

BaCd2BiAu4 after structural relaxation. Source: Alexandria via LeMat-Bulk, functional PBE.

Structure (extended XYZ):
```
8
Lattice="-0.296 3.038 -4.187 3.163 -0.816 -4.022 -4.811 -4.583 -6.192" Properties=species:S:1:pos:R:3 pbc="T T T"
Au -2.942 -2.999 -8.380
Au 0.420 -0.037 -9.675
Au -2.364 -2.324 -4.725
Au 0.998 0.638 -6.020
Bi -0.972 -1.180 -7.200
Cd -1.565 -1.869 -10.864
Cd -0.380 -0.492 -3.536
Ba 0.000 0.000 0.000
```

Computed properties:
- crystal system = trigonal
- formation enthalpy at 0 K (meV/atom) = -214
- space group = R-3m (166)

=====

Ba2Cd3BiAu4 after structural relaxation. Source: Alexandria via LeMat-Bulk, functional PBE.

Structure (extended XYZ):
```
10
Lattice="-1.649 -4.615 -1.028 1.221 0.636 -4.814 10.162 -4.085 2.038" Properties=species:S:1:pos:R:3 pbc="T T T"
Au -0.214 -1.990 -2.921
Au 5.656 -4.913 0.786
Au 0.000 0.000 0.000
Au 4.292 -1.162 -1.669
Bi 4.867 -4.032 -1.902
Ba 8.370 -2.801 -0.851
Ba 1.578 -3.274 -0.032
Cd 8.157 -5.918 1.287
Cd 1.791 -0.157 -2.171
Cd 5.081 -2.043 1.019
```

Computed properties:
- crystal system = tetragonal
- formation enthalpy at 0 K (meV/atom) = -479
- space group = P-4m2 (115)

=====

Ba2Cd4BiAu3 after structural relaxation. Source: Alexandria via LeMat-Bulk, functional PBE.

Structure (extended XYZ):
```
10
Lattice="4.891 0.000 0.000 0.000 4.891 0.000 0.000 0.000 11.835" Properties=species:S:1:pos:R:3 pbc="T T T"
Ba 0.000 2.446 8.942
Ba 2.446 0.000 2.892
Au 0.000 2.446 1.490
Au 2.446 0.000 10.344
Au 0.000 0.000 5.917
Cd 0.000 2.446 4.239
Cd 0.000 0.000 0.000
Cd 2.446 2.446 0.000
Cd 2.446 0.000 7.595
Bi 2.446 2.446 5.917
```

Computed properties:
- crystal system = tetragonal
- formation enthalpy at 0 K (meV/atom) = -440
- space group = P-4m2 (115)

=====

Ba2CdBi4Au3 after structural relaxation. Source: Alexandria via LeMat-Bulk, functional PBE.

Structure (extended XYZ):
```
10
Lattice="5.079 0.000 0.000 0.000 5.079 0.000 0.000 0.000 11.912" Properties=species:S:1:pos:R:3 pbc="T T T"
Bi 2.540 0.000 7.551
Bi 0.000 2.540 4.361
Bi 2.540 2.540 0.000
Bi 0.000 0.000 0.000
Au 0.000 2.540 1.546
Au 0.000 0.000 5.956
Au 2.540 0.000 10.367
Ba 2.540 0.000 3.028
Ba 0.000 2.540 8.885
Cd 2.540 2.540 5.956
```

Computed properties:
- crystal system = tetragonal
- formation enthalpy at 0 K (meV/atom) = -490
- space group = P-4m2 (115)

=====

Ba2CuBi4Au3 after structural relaxation. Source: Alexandria via LeMat-Bulk, functional PBE.

Structure (extended XYZ):
```
10
Lattice="-3.706 2.363 -2.394 -3.085 -3.809 1.016 -3.144 5.218 10.015" Properties=species:S:1:pos:R:3 pbc="T T T"
Ba -3.858 1.939 7.885
Ba -2.681 2.556 1.441
Bi -3.395 -0.723 -0.689
Bi -2.736 0.076 4.310
Bi 0.000 0.000 0.000
Bi -3.803 4.419 5.016
Au -1.979 -1.180 1.898
Au -1.572 2.609 5.008
Au -4.560 5.675 7.428
Cu -4.967 1.886 4.318
```

Computed properties:
- crystal system = tetragonal
- formation enthalpy at 0 K (meV/atom) = -460
- space group = P-4m2 (115)

=====

Ba2CuBiAu6 after structural relaxation. Source: Alexandria via LeMat-Bulk, functional PBE.

Structure (extended XYZ):
```
10
Lattice="-5.573 -0.396 4.934 -2.439 -5.471 -4.463 -0.723 -7.418 0.558" Properties=species:S:1:pos:R:3 pbc="T T T"
Bi -4.006 -2.933 0.235
Au -6.502 -7.968 0.732
Au -1.176 -2.521 -0.581
Au -7.559 -10.764 1.610
Au -2.233 -5.317 0.296
Au -5.642 -8.937 3.241
Au -3.092 -4.348 -2.212
Ba -4.981 -5.641 2.707
Ba -3.754 -7.644 -1.678
Cu 0.000 0.000 0.000
```

Computed properties:
- crystal system = triclinic
- formation enthalpy at 0 K (meV/atom) = -402
- space group = P-1 (2)

=====

Ba2GaBiAu after structural relaxation. Source: Alexandria via LeMat-Bulk, functional PBE.

Structure (extended XYZ):
```
5
Lattice="-5.314 -2.588 -2.197 3.002 -5.488 -0.795 -1.229 -1.329 4.537" Properties=species:S:1:pos:R:3 pbc="T T T"
Au 0.000 0.000 0.000
Ba -2.657 -1.294 -1.099
Ba 1.501 -2.744 -0.397
Bi -1.770 -4.703 0.772
Ga -0.614 -0.665 2.268
```

Computed properties:
- crystal system = tetragonal
- formation enthalpy at 0 K (meV/atom) = -521
- space group = P4/mmm (123)

=====

Ba2Ga3BiAu12 after structural relaxation. Source: Alexandria via LeMat-Bulk, functional PBE.

Structure (extended XYZ):
```
18
Lattice="11.000 2.432 1.725 7.547 8.364 1.725 7.547 4.393 7.323" Properties=species:S:1:pos:R:3 pbc="T T T"
Au 15.109 7.163 5.081
Au 8.075 2.947 2.090
Au 10.986 8.026 5.693
Au 6.550 5.566 2.090
Au 18.019 12.242 8.683
Au 19.544 11.376 6.211
Au 12.404 5.589 5.693
Au 12.404 7.220 3.393
Au 13.690 7.969 7.381
Au 13.690 9.600 5.081
Au 6.550 3.813 4.562
Au 19.544 9.623 8.683
Ga 5.500 1.216 0.863
Ga 3.774 2.197 3.661
Ga 3.774 4.182 0.863
Bi 0.000 0.000 0.000
Ba 16.661 9.698 6.879
Ba 9.433 5.491 3.895
```

Computed properties:
- crystal system = trigonal
- formation enthalpy at 0 K (meV/atom) = -226
- space group = R-3m (166)